No. 1
# MgV2SbO6 PBE+U relaxed
data_MgV2SbO6
_symmetry_space_group_name_H-M 'P 1'
_symmetry_Int_Tables_number 1
_cell_length_a 5.3410
_cell_length_b 5.3631
_cell_length_c 5.5630
_cell_angle_alpha 90.53
_cell_angle_beta 118.61
_cell_angle_gamma 119.54
loop_
_symmetry_equiv_pos_as_xyz
'x,y,z'
loop_
_atom_site_label
_atom_site_type_symbol
_atom_site_fract_x
_atom_site_fract_y
_atom_site_fract_z
Mg1 Mg 0.0000 0.0000 0.0000
V1 V 0.4188 0.2065 0.6343
V2 V 0.4276 0.7106 0.1422
Sb1 Sb 0.9931 0.4915 0.5017
O1 O 0.2489 0.9191 0.8328
O2 O 0.3138 0.8669 0.3307
O3 O 0.4806 0.4318 0.3460
O4 O 0.5073 0.5901 0.8479
O5 O 0.9141 0.0426 0.3396
O6 O 0.9219 0.3312 0.8343
# E (eV per atom): -6.95

=====

No. 2
# MgVSbO6 PBE+U relaxed
data_MgVSbO6
_symmetry_space_group_name_H-M 'P -3 1 c'
_symmetry_Int_Tables_number 163
_symmetry_space_group_name_Hall '-P 3 2c'
_cell_length_a 5.0993
_cell_length_b 5.0993
_cell_length_c 9.1447
_cell_angle_alpha 90.00
_cell_angle_beta 90.00
_cell_angle_gamma 120.00
loop_
_atom_site_label
_atom_site_type_symbol
_atom_site_fract_x
_atom_site_fract_y
_atom_site_fract_z
Mg1 Mg 0.0000 0.0000 0.0000
V1 V 0.3333 0.6667 0.2500
Sb1 Sb 0.3333 0.6667 0.7500
O1 O 0.0142 0.3626 0.1340
# E (eV per atom): -6.59

=====

No. 3
# Mg2VSbO6 PBE+U relaxed
data_Mg2VSbO6
_symmetry_space_group_name_H-M 'R 3'
_symmetry_Int_Tables_number 146
_symmetry_space_group_name_Hall 'R 3'
_cell_length_a 5.2157
_cell_length_b 5.2157
_cell_length_c 13.9912
_cell_angle_alpha 90.00
_cell_angle_beta 90.00
_cell_angle_gamma 120.00
loop_
_atom_site_label
_atom_site_type_symbol
_atom_site_fract_x
_atom_site_fract_y
_atom_site_fract_z
Mg1 Mg 0.0000 0.0000 0.0000
Mg2 Mg 0.0000 0.0000 0.4996
V1 V 0.0000 0.0000 0.2903
Sb1 Sb 0.0000 0.0000 0.7928
O1 O 0.0147 0.7083 0.8878
O2 O 0.0191 0.3727 0.0568
# E (eV per atom): -6.59
# E above lowest polymorph (meV per atom): 0

=====

No. 4
# Mg2VSbO6 PBE+U relaxed
data_Mg2VSbO6
_symmetry_space_group_name_H-M 'P 1 21/m 1'
_symmetry_Int_Tables_number 11
_cell_length_a 5.2317
_cell_length_b 7.6496
_cell_length_c 5.3903
_cell_angle_alpha 90.00
_cell_angle_beta 91.34
_cell_angle_gamma 90.00
loop_
_symmetry_equiv_pos_as_xyz
'x,y,z'
'-x,-y,-z'
'-x,y+1/2,-z'
'x,-y+1/2,z'
loop_
_atom_site_label
_atom_site_type_symbol
_atom_site_fract_x
_atom_site_fract_y
_atom_site_fract_z
Mg1 Mg 0.0155 0.2500 0.0314
Mg2 Mg 0.4804 0.7500 0.4337
V1 V 0.5000 0.0000 0.0000
Sb1 Sb 0.0000 0.0000 0.5000
O1 O 0.1374 0.2500 0.4252
O2 O 0.1685 0.5697 0.1901
O3 O 0.3217 0.5679 0.6760
O4 O 0.3815 0.2500 0.9276
# E (eV per atom): -6.53
# E above lowest polymorph (meV per atom): 65

=====

No. 5
# MgV2SbO PBE+U relaxed
data_MgV2SbO
_symmetry_space_group_name_H-M 'P 4/m m m'
_symmetry_Int_Tables_number 123
_symmetry_space_group_name_Hall '-P 4 2'
_cell_length_a 4.2418
_cell_length_b 4.2418
_cell_length_c 5.0702
_cell_angle_alpha 90.00
_cell_angle_beta 90.00
_cell_angle_gamma 90.00
loop_
_atom_site_label
_atom_site_type_symbol
_atom_site_fract_x
_atom_site_fract_y
_atom_site_fract_z
Mg1 Mg 0.0000 0.0000 0.0000
V1 V 0.0000 0.5000 0.5000
Sb1 Sb 0.5000 0.5000 0.0000
O1 O 0.5000 0.5000 0.5000
# E (eV per atom): -5.16

=====

No. 6
# Mg2SbWO6 PBE+U relaxed
data_Mg2SbWO6
_symmetry_space_group_name_H-M 'P 1'
_symmetry_Int_Tables_number 1
_cell_length_a 5.4379
_cell_length_b 5.4933
_cell_length_c 5.6666
_cell_angle_alpha 93.41
_cell_angle_beta 110.06
_cell_angle_gamma 117.45
loop_
_symmetry_equiv_pos_as_xyz
'x,y,z'
loop_
_atom_site_label
_atom_site_type_symbol
_atom_site_fract_x
_atom_site_fract_y
_atom_site_fract_z
Mg1 Mg 0.0000 0.0000 0.0000
Mg2 Mg 0.2425 0.9678 0.5951
Sb1 Sb 0.3458 0.6738 0.1675
W1 W 0.8760 0.2846 0.5431
O1 O 0.0209 0.5630 0.3623
O2 O 0.0466 0.6809 0.8273
O3 O 0.2333 0.2835 0.7920
O4 O 0.3989 0.0717 0.2933
O5 O 0.6768 0.0491 0.7468
O6 O 0.8352 0.9792 0.2874
# E (eV per atom): -6.45
# E above lowest polymorph (meV per atom): 0

=====

No. 7
# Mg2SbWO6 PBE+U relaxed
data_Mg2SbWO6
_symmetry_space_group_name_H-M 'P 1'
_symmetry_Int_Tables_number 1
_cell_length_a 5.4185
_cell_length_b 5.4599
_cell_length_c 5.7445
_cell_angle_alpha 110.99
_cell_angle_beta 106.89
_cell_angle_gamma 90.71
loop_
_symmetry_equiv_pos_as_xyz
'x,y,z'
loop_
_atom_site_label
_atom_site_type_symbol
_atom_site_fract_x
_atom_site_fract_y
_atom_site_fract_z
Mg1 Mg 0.0000 0.0000 0.0000
Mg2 Mg 0.3508 0.9283 0.6110
Sb1 Sb 0.9444 0.3647 0.5893
W1 W 0.5352 0.5000 0.0401
O1 O 0.1600 0.1353 0.3915
O2 O 0.1622 0.7195 0.7473
O3 O 0.1798 0.2810 0.8972
O4 O 0.5231 0.7070 0.3666
O5 O 0.6634 0.1686 0.9178
O6 O 0.7491 0.6859 0.9495
# E (eV per atom): -6.42
# E above lowest polymorph (meV per atom): 25

=====

No. 8
# MgSbWO6 PBE+U relaxed
data_MgSbWO6
_symmetry_space_group_name_H-M 'P -3 1 c'
_symmetry_Int_Tables_number 163
_symmetry_space_group_name_Hall '-P 3 2c'
_cell_length_a 5.2946
_cell_length_b 5.2946
_cell_length_c 9.0781
_cell_angle_alpha 90.00
_cell_angle_beta 90.00
_cell_angle_gamma 120.00
loop_
_atom_site_label
_atom_site_type_symbol
_atom_site_fract_x
_atom_site_fract_y
_atom_site_fract_z
Mg1 Mg 0.0000 0.0000 0.0000
Sb1 Sb 0.3333 0.6667 0.2500
W1 W 0.3333 0.6667 0.7500
O1 O 0.0106 0.3536 0.6330
# E (eV per atom): -6.57

=====

No. 9
# Mg2SbWO6 PBE+U relaxed
data_Mg2SbWO6
_symmetry_space_group_name_H-M 'P 1 21/m 1'
_symmetry_Int_Tables_number 11
_cell_length_a 5.5114
_cell_length_b 7.9535
_cell_length_c 5.5349
_cell_angle_alpha 90.00
_cell_angle_beta 93.24
_cell_angle_gamma 90.00
loop_
_symmetry_equiv_pos_as_xyz
'x,y,z'
'-x,-y,-z'
'-x,y+1/2,-z'
'x,-y+1/2,z'
loop_
_atom_site_label
_atom_site_type_symbol
_atom_site_fract_x
_atom_site_fract_y
_atom_site_fract_z
Mg1 Mg 0.0261 0.2500 0.0202
Mg2 Mg 0.4609 0.7500 0.5106
Sb1 Sb 0.5000 0.0000 0.0000
W1 W 0.0000 0.0000 0.5000
O1 O 0.0919 0.7500 0.6296
O2 O 0.1530 0.5734 0.1881
O3 O 0.3153 0.0715 0.6306
O4 O 0.3902 0.2500 0.1407
# E (eV per atom): -6.38
# E above lowest polymorph (meV per atom): 65

=====

No. 10
# Mg2SbWO6 PBE+U relaxed
data_Mg2SbWO6
_symmetry_space_group_name_H-M 'P 1 21/c 1'
_symmetry_Int_Tables_number 14
_cell_length_a 5.4506
_cell_length_b 5.5442
_cell_length_c 9.7045
_cell_angle_alpha 90.00
_cell_angle_beta 124.13
_cell_angle_gamma 90.00
loop_
_symmetry_equiv_pos_as_xyz
'x,y,z'
'-x,-y,-z'
'-x,y+1/2,-z+1/2'
'x,-y+1/2,z+1/2'
loop_
_atom_site_label
_atom_site_type_symbol
_atom_site_fract_x
_atom_site_fract_y
_atom_site_fract_z
Mg1 Mg 0.2119 0.0232 0.2322
Sb1 Sb 0.0000 0.0000 0.5000
W1 W 0.5000 0.0000 0.0000
O1 O 0.1425 0.1208 0.7722
O2 O 0.2284 0.6465 0.5504
O3 O 0.4516 0.1922 0.5942
# E (eV per atom): -6.43
# E above lowest polymorph (meV per atom): 22

=====

Q: Number 4 is which compound?
A: Mg2VSbO6